## SmDy2ErTm5 (PBE-GGA)

Data for a relaxed structure of SmDy2ErTm5.

Cell: 8.8458 8.8458 9.5759 Å, 117.51 117.51 90.00°
Closest atoms and distances in Å follow each position.
Element x y z (fractional)
Sm  0.2500  0.2500  0.5000  10 Tm 3.60-3.63
Sm  0.7500  0.7500  0.5000  10 Tm 3.60-3.63
Dy  0.1127  0.3873  0.0000  1 Dy 2.82, 2 Tm 2.98
Dy  0.6127  0.1127  0.0000  1 Dy 2.82, 2 Tm 2.98
Dy  0.3873  0.8873  0.0000  1 Dy 2.82, 2 Tm 2.98
Dy  0.8873  0.6127  0.0000  1 Dy 2.82, 2 Tm 2.98
Er  0.2500  0.7500  0.5000  4 Tm 3.09
Er  0.7500  0.2500  0.5000  4 Tm 3.09
Tm  0.9269  0.4269  0.2651  1 Dy 2.98, 1 Er 3.09
Tm  0.6618  0.1618  0.7349  1 Dy 2.98, 1 Er 3.09
Tm  0.0731  0.5731  0.7349  1 Dy 2.98, 1 Er 3.09
Tm  0.1618  0.0731  0.7349  1 Dy 2.98, 1 Er 3.09
Tm  0.5731  0.6618  0.7349  1 Dy 2.98, 1 Er 3.09
Tm  0.8382  0.9269  0.2651  1 Dy 2.98, 1 Er 3.09
Tm  0.4269  0.3382  0.2651  1 Dy 2.98, 1 Er 3.09
Tm  0.3382  0.8382  0.2651  1 Dy 2.98, 1 Er 3.09
Tm  0.5000  0.5000  0.0000  4 Dy 3.57, 2 Sm 3.63, 8 Tm 3.71
Tm  0.0000  0.0000  0.0000  4 Dy 3.57, 2 Sm 3.63, 8 Tm 3.71

Calculated formation energy ... 296 meV/atom
D(E_F) ... 1.223 states/eV/atom
E ... -4.2425 eV per atom